No. 1
## Sc2TcSbC (PBE-GGA)

Data for an optimized crystal structure of Sc2TcSbC.

Summary:
Symmetry: P4/mmm
Crystal system: tetragonal
E_form (uncorrected), eV/atom: -0.512
Density of states at the Fermi level, states/eV/cell: 2.4

Cell lengths 4.5802, 4.5802, 4.0519 Å; angles 90.00, 90.00, 90.00 degrees
With the nearest neighbours (Å) after each atom.
Positions (direct):
Sc 0.0000 0.5000 0.0000  2 C 2.29
Sc 0.5000 0.0000 0.0000  2 C 2.29
Tc 0.0000 0.0000 0.5000  2 C 2.03
Sb 0.5000 0.5000 0.5000  8 Sc 3.06, 4 Tc 3.24
C 0.0000 0.0000 0.0000  2 Tc 2.03

---

No. 2
## ScSbTeC2 (PBE-GGA)

Data for an optimized crystal structure of ScSbTeC2.

Summary:
Symmetry: P4/mmm
Crystal system: tetragonal
E_form (uncorrected), eV/atom: 1.633
Density of states at the Fermi level, states/eV/cell: 2.4

Cell lengths 4.2252, 4.2252, 6.0395 Å; angles 90.00, 90.00, 90.00 degrees
With the nearest neighbours (Å) after each atom.
Positions (direct):
Sc 0.0000 0.0000 0.0000  4 Te 2.99
Sb 0.5000 0.5000 0.5000  4 C 2.11
Te 0.5000 0.5000 0.0000  4 Sc 2.99, 2 Sb 3.02
C 0.0000 0.5000 0.5000  2 Sb 2.11
C 0.5000 0.0000 0.5000  2 Sb 2.11

---

No. 3
## Th2Sc2Sb2C (PBE-GGA)

Data for an optimized crystal structure of Th2Sc2Sb2C.

Summary:
Symmetry: I4/mmm
Crystal system: tetragonal
E_form (uncorrected), eV/atom: -0.844
Density of states at the Fermi level, states/eV/cell: 6.1

Cell lengths 8.6659, 8.6659, 8.6659 Å; angles 149.53, 149.53, 43.64 degrees
With the nearest neighbours (Å) after each atom.
Positions (direct):
Th 0.1622 0.1622 0.0000  1 C 2.61
Th 0.8378 0.8378 0.0000  1 C 2.61
Sc 0.0000 0.5000 0.5000  2 C 2.28
Sc 0.5000 0.0000 0.5000  2 C 2.28
Sb 0.3681 0.3681 0.0000  4 Sc 3.11, 5 Th 3.26-3.31
Sb 0.6319 0.6319 0.0000  4 Sc 3.11, 5 Th 3.26-3.31
C 0.0000 0.0000 0.0000  4 Sc 2.28

---

No. 4
## Sc2Ti2Sb2C (PBE-GGA)

Data for an optimized crystal structure of Sc2Ti2Sb2C.

Summary:
Symmetry: I4/mmm
Crystal system: tetragonal
E_form (uncorrected), eV/atom: -0.810
Density of states at the Fermi level, states/eV/cell: 4.7

Cell lengths 7.9638, 7.9638, 7.9638 Å; angles 149.27, 149.27, 44.01 degrees
With the nearest neighbours (Å) after each atom.
Positions (direct):
Sc 0.1572 0.1572 0.0000  1 C 2.32
Sc 0.8428 0.8428 0.0000  1 C 2.32
Ti 0.0000 0.5000 0.5000  2 C 2.11
Ti 0.5000 0.0000 0.5000  2 C 2.11
Sb 0.3588 0.3588 0.0000  4 Ti 2.97, 5 Sc 2.98-2.99
Sb 0.6412 0.6412 0.0000  4 Ti 2.97, 5 Sc 2.98-2.99
C 0.0000 0.0000 0.0000  4 Ti 2.11, 2 Sc 2.32

---

No. 5
## ScTi2SbC (PBE-GGA)

Data for an optimized crystal structure of ScTi2SbC.

Summary:
Symmetry: P4/mmm
Crystal system: tetragonal
E_form (uncorrected), eV/atom: -0.598
Density of states at the Fermi level, states/eV/cell: 5.4

Cell lengths 4.2224, 4.2224, 4.5886 Å; angles 90.00, 90.00, 90.00 degrees
With the nearest neighbours (Å) after each atom.
Positions (direct):
Sc 0.0000 0.0000 0.0000  2 C 2.29
Ti 0.0000 0.5000 0.5000  2 C 2.11
Ti 0.5000 0.0000 0.5000  2 C 2.11
Sb 0.5000 0.5000 0.0000  4 Sc 2.99, 8 Ti 3.12
C 0.0000 0.0000 0.5000  4 Ti 2.11, 2 Sc 2.29

---

No. 6
## Sc4TlSbC (PBE-GGA)

Data for an optimized crystal structure of Sc4TlSbC.

Summary:
Symmetry: Cmcm
Crystal system: orthorhombic
E_form (uncorrected), eV/atom: -0.682
Density of states at the Fermi level, states/eV/cell: 2.2

Cell lengths 8.1125, 8.1125, 6.3212 Å; angles 90.00, 90.00, 134.13 degrees
With the nearest neighbours (Å) after each atom.
Positions (direct):
Sc 0.0000 0.5000 0.0000  2 C 2.24
Sc 0.0000 0.5000 0.5000  2 C 2.24
Sc 0.0945 0.9055 0.7500  1 C 2.33
Sc 0.4037 0.5963 0.7500  1 C 2.29
Sc 0.5000 0.0000 0.0000  2 C 2.24
Sc 0.5000 0.0000 0.5000  2 C 2.24
Sc 0.5963 0.4037 0.2500  1 C 2.29
Sc 0.9055 0.0945 0.2500  1 C 2.33
Tl 0.1069 0.8931 0.2500  9 Sc 3.01-3.17
Tl 0.8931 0.1069 0.7500  9 Sc 3.01-3.17
Sb 0.3932 0.6068 0.2500  9 Sc 3.04-3.17
Sb 0.6068 0.3932 0.7500  9 Sc 3.04-3.17
C 0.2502 0.7498 0.7500  6 Sc 2.24-2.33
C 0.7498 0.2502 0.2500  6 Sc 2.24-2.33

---

No. 7
## Tm2ScSbC (PBE-GGA)

Data for an optimized crystal structure of Tm2ScSbC.

Summary:
Symmetry: P4/mmm
Crystal system: tetragonal
E_form (uncorrected), eV/atom: -0.677
Density of states at the Fermi level, states/eV/cell: 3.1

Cell lengths 4.7939, 4.7939, 4.5427 Å; angles 90.00, 90.00, 90.00 degrees
With the nearest neighbours (Å) after each atom.
Positions (direct):
Tm 0.0000 0.5000 0.0000  2 C 2.40
Tm 0.5000 0.0000 0.0000  2 C 2.40
Sc 0.0000 0.0000 0.5000  2 C 2.27
Sb 0.5000 0.5000 0.5000  8 Tm 3.30, 4 Sc 3.39
C 0.0000 0.0000 0.0000  2 Sc 2.27, 4 Tm 2.40

---

No. 8
## Tm2Sc2Sb2C (PBE-GGA)

Data for an optimized crystal structure of Tm2Sc2Sb2C.

Summary:
Symmetry: I4/mmm
Crystal system: tetragonal
E_form (uncorrected), eV/atom: -0.890
Density of states at the Fermi level, states/eV/cell: 7.3

Cell lengths 8.3776, 8.3776, 8.3776 Å; angles 148.95, 148.95, 44.49 degrees
With the nearest neighbours (Å) after each atom.
Positions (direct):
Tm 0.1584 0.1584 0.0000  1 C 2.46
Tm 0.8416 0.8416 0.0000  1 C 2.46
Sc 0.0000 0.5000 0.5000  2 C 2.24
Sc 0.5000 0.0000 0.5000  2 C 2.24
Sb 0.3597 0.3597 0.0000  5 Tm 3.12-3.18, 4 Sc 3.12
Sb 0.6403 0.6403 0.0000  5 Tm 3.12-3.18, 4 Sc 3.12
C 0.0000 0.0000 0.0000  4 Sc 2.24, 2 Tm 2.46